[1]
Here is an optimized crystal structure of Pm2InPd from Alexandria. Energies are from PBE.

Lattice parameters (Å, degrees): 3.6246 3.6246 7.8891 90.00 90.00 90.00
Atoms (fractional coordinates):
Pm  0.0000  0.0000  0.2246
Pm  0.0000  0.0000  0.7754
In  0.5000  0.5000  0.5000
Pd  0.5000  0.5000  0.0000

Output
V, Å³ per atom: 25.9
Magnetic moment, μB per cell: 0.00
Formation energy, eV/atom: -0.63


[2]
Here is an optimized crystal structure of Pm2In3Pd from Alexandria. Energies are from PBE.

Lattice parameters (Å, degrees): 3.6902 4.8873 8.4513 90.00 90.00 90.00
Atoms (fractional coordinates):
Pm  0.0000  0.0000  0.0000
Pm  0.0000  0.5000  0.4614
In  0.5000  0.0000  0.6300
In  0.5000  0.5000  0.1515
In  0.5000  0.5000  0.8104
Pd  0.5000  0.0000  0.3050

Output
V, Å³ per atom: 25.4
Distance to the lowest polymorph of the same formula, kJ/mol of atoms: 0.66
Magnetic moment, μB per cell: 0.01
Formation energy, eV/atom: -0.58


[3]
Here is an optimized crystal structure of PmInPd6 from Alexandria. Energies are from PBE.

Lattice parameters (Å, degrees): 4.1268 4.1268 8.1820 90.00 90.00 90.00
Atoms (fractional coordinates):
Pm  0.0000  0.0000  0.0000
In  0.0000  0.0000  0.5000
Pd  0.0000  0.5000  0.2609
Pd  0.0000  0.5000  0.7391
Pd  0.5000  0.0000  0.2609
Pd  0.5000  0.0000  0.7391
Pd  0.5000  0.5000  0.0000
Pd  0.5000  0.5000  0.5000

Output
V, Å³ per atom: 17.4
Distance to the lowest polymorph of the same formula, kJ/mol of atoms: 0.00
Magnetic moment, μB per cell: 0.00
Formation energy, eV/atom: -0.61


[4]
Here is an optimized crystal structure of Pm2In8Pd from Alexandria. Energies are from PBE.

Lattice parameters (Å, degrees): 4.7156 4.7156 12.2509 90.00 90.00 90.00
Atoms (fractional coordinates):
Pm  0.0000  0.0000  0.1905
Pm  0.0000  0.0000  0.8095
In  0.0000  0.5000  0.0000
In  0.0000  0.5000  0.3756
In  0.0000  0.5000  0.6244
In  0.5000  0.0000  0.0000
In  0.5000  0.0000  0.3756
In  0.5000  0.0000  0.6244
In  0.5000  0.5000  0.1910
In  0.5000  0.5000  0.8090
Pd  0.0000  0.0000  0.5000

Output
V, Å³ per atom: 24.8
Magnetic moment, μB per cell: 0.00
Formation energy, eV/atom: -0.45


[5]
Here is an optimized crystal structure of PmInPd from Alexandria. Energies are from PBE.

Lattice parameters (Å, degrees): 7.1760 4.6456 8.3627 90.00 90.00 90.00
Atoms (fractional coordinates):
Pm  0.0345  0.2500  0.1829
Pm  0.4655  0.7500  0.6829
Pm  0.5345  0.2500  0.3171
Pm  0.9655  0.7500  0.8171
In  0.1506  0.2500  0.5639
In  0.3494  0.7500  0.0639
In  0.6506  0.2500  0.9361
In  0.8494  0.7500  0.4361
Pd  0.2438  0.7500  0.3853
Pd  0.2562  0.2500  0.8853
Pd  0.7438  0.7500  0.1147
Pd  0.7562  0.2500  0.6147

Output
V, Å³ per atom: 23.2
Distance to the lowest polymorph of the same formula, kJ/mol of atoms: 0.00
Magnetic moment, μB per cell: 0.00
Formation energy, eV/atom: -0.77


[6]
Here is an optimized crystal structure of PmIn3Pd2 from Alexandria. Energies are from PBE.

Lattice parameters (Å, degrees): 9.2955 9.2955 10.7712 108.64 108.64 27.61
Atoms (fractional coordinates):
Pm  0.0000  0.0000  0.0000
Pm  0.1584  0.1584  0.7006
Pm  0.8416  0.8416  0.2994
In  0.0398  0.0398  0.3455
In  0.2159  0.2159  0.3874
In  0.3270  0.3270  0.0458
In  0.3751  0.3751  0.8092
In  0.5000  0.5000  0.5000
In  0.6249  0.6249  0.1908
In  0.6730  0.6730  0.9542
In  0.7841  0.7841  0.6126
In  0.9602  0.9602  0.6545
Pd  0.1998  0.1998  0.1255
Pd  0.3632  0.3632  0.5464
Pd  0.4754  0.4754  0.2108
Pd  0.5246  0.5246  0.7892
Pd  0.6368  0.6368  0.4536
Pd  0.8002  0.8002  0.8745

Output
V, Å³ per atom: 22.6
Distance to the lowest polymorph of the same formula, kJ/mol of atoms: 0.61
Magnetic moment, μB per cell: 0.00
Formation energy, eV/atom: -0.54